HoSc2 | GGA-PBE | relaxed

Values from the calculation:
As for the formation energy: 0.05 eV per atom. As for the space group: I4/mmm. The size of the total moment comes out at 0.00 μB/f.u. The value obtained for the raw total energy is -5.6935 eV/atom.

abc: 3.352 3.352 7.467
angles: 102.97 102.97 90.00
Fractional coordinates of all 3 atoms:
Ho (0.000, 0.000, 0.000)
Sc (0.329, 0.329, 0.658)
Sc (0.671, 0.671, 0.342)

***

Ho2Sc3 | GGA-PBE | relaxed

Values from the calculation:
As for the formation energy: 0.13 eV per atom. As for the space group: Pbcn. The size of the total moment comes out at 0.00 μB/f.u. The value obtained for the raw total energy is -5.4970 eV/atom.

abc: 8.721 9.464 6.630
angles: 90.00 90.00 90.00
Fractional coordinates of all 20 atoms:
Ho (0.691, 0.904, 0.389)
Ho (0.191, 0.596, 0.889)
Ho (0.309, 0.404, 0.389)
Ho (0.691, 0.596, 0.611)
Ho (0.809, 0.096, 0.889)
Ho (0.309, 0.096, 0.611)
Ho (0.191, 0.904, 0.111)
Ho (0.809, 0.404, 0.111)
Sc (0.472, 0.129, 0.147)
Sc (0.972, 0.371, 0.647)
Sc (0.528, 0.629, 0.147)
Sc (0.972, 0.129, 0.353)
Sc (0.472, 0.371, 0.853)
Sc (0.853, 0.750, 0.000)
Sc (0.528, 0.871, 0.853)
Sc (0.647, 0.250, 0.500)
Sc (0.353, 0.750, 0.500)
Sc (0.147, 0.250, 0.000)
Sc (0.028, 0.871, 0.647)
Sc (0.028, 0.629, 0.353)

***

Ho4Sc3 | GGA-PBE | relaxed

Values from the calculation:
As for the formation energy: 0.05 eV per atom. As for the space group: C2/m. The size of the total moment comes out at 0.00 μB/f.u. The value obtained for the raw total energy is -5.2793 eV/atom.

abc: 4.848 7.654 5.876
angles: 97.78 114.37 90.00
Fractional coordinates of all 7 atoms:
Sc (0.429, 0.287, 0.858)
Sc (0.571, 0.713, 0.142)
Sc (0.000, 0.000, 0.000)
Ho (0.714, 0.139, 0.427)
Ho (0.286, 0.861, 0.573)
Ho (0.141, 0.424, 0.282)
Ho (0.859, 0.576, 0.718)

***

Ho3Sc7 | GGA-PBE | relaxed

Values from the calculation:
As for the formation energy: 0.05 eV per atom. As for the space group: C2/m. The size of the total moment comes out at 0.00 μB/f.u. The value obtained for the raw total energy is -5.7508 eV/atom.

abc: 4.707 6.688 8.849
angles: 101.23 105.42 90.00
Fractional coordinates of all 10 atoms:
Ho (0.802, 0.398, 0.605)
Ho (0.000, 0.000, 0.000)
Ho (0.198, 0.602, 0.395)
Sc (0.800, 0.901, 0.600)
Sc (0.599, 0.300, 0.197)
Sc (0.600, 0.802, 0.201)
Sc (0.401, 0.700, 0.803)
Sc (0.200, 0.099, 0.400)
Sc (0.400, 0.198, 0.799)
Sc (0.000, 0.500, 0.000)

***

Ho3Sc | GGA-PBE | relaxed

Values from the calculation:
As for the formation energy: 0.14 eV per atom. As for the space group: Fm-3m. The size of the total moment comes out at 0.00 μB/f.u. The value obtained for the raw total energy is -4.8810 eV/atom.

abc: 5.512 5.512 5.512
angles: 60.00 60.00 60.00
Fractional coordinates of all 4 atoms:
Ho (0.250, 0.250, 0.250)
Ho (0.750, 0.750, 0.750)
Ho (0.000, 0.000, 0.000)
Sc (0.500, 0.500, 0.500)

***

Ho2Sc7 | GGA-PBE | relaxed

Values from the calculation:
As for the formation energy: 0.05 eV per atom. As for the space group: P-31m. The size of the total moment comes out at 0.00 μB/f.u. The value obtained for the raw total energy is -5.8883 eV/atom.

abc: 5.746 5.746 8.121
angles: 90.00 90.00 120.00
Fractional coordinates of all 9 atoms:
Ho (0.667, 0.333, 0.000)
Ho (0.333, 0.667, 0.000)
Sc (0.331, 0.331, 0.339)
Sc (0.000, 0.000, 0.000)
Sc (0.331, 0.000, 0.661)
Sc (0.000, 0.331, 0.661)
Sc (0.669, 0.669, 0.661)
Sc (0.669, 0.000, 0.339)
Sc (0.000, 0.669, 0.339)

***

Ho3Sc | GGA-PBE | relaxed

Values from the calculation:
As for the formation energy: 0.02 eV per atom. As for the space group: Imm2. The size of the total moment comes out at 0.00 μB/f.u. The value obtained for the raw total energy is -4.9961 eV/atom.

abc: 3.538 6.104 6.526
angles: 117.88 105.73 90.00
Fractional coordinates of all 4 atoms:
Sc (0.000, 0.001, 0.000)
Ho (0.255, 0.589, 0.509)
Ho (0.745, 0.080, 0.491)
Ho (0.500, 0.496, 0.000)

***

Ho5Sc4 | GGA-PBE | relaxed

Values from the calculation:
As for the formation energy: 0.05 eV per atom. As for the space group: C2/m. The size of the total moment comes out at 0.00 μB/f.u. The value obtained for the raw total energy is -5.3054 eV/atom.

abc: 4.808 7.623 7.623
angles: 84.25 71.56 71.56
Fractional coordinates of all 9 atoms:
Ho (0.000, 0.667, 0.333)
Ho (0.329, 0.338, 0.004)
Ho (0.000, 0.996, 0.004)
Ho (0.000, 0.338, 0.662)
Ho (0.671, 0.996, 0.662)
Sc (0.667, 0.667, 0.000)
Sc (0.333, 0.000, 0.333)
Sc (0.333, 0.667, 0.666)
Sc (0.667, 0.334, 0.333)

***

Question: Among the records above, which one has the highest raw total energy?
Answer: number 5